Entry 1:
A relaxed structure of NdGdS2, computed with GGA-PBE.

## Properties
Crystal system: trigonal
Space-group type: R-3m (166)
ρ, g/cm3: 6.63
Electronic total energy, eV/atom: -8.831

a b c (Å): 4.014 4.014 6.965
angles (deg): 73.25 73.25 60.00
Last column: magnetic moment on the atom in μB.
Fractional positions:
Nd1 0.000 0.000 0.000  -0.06
S1 0.246 0.246 0.261  -0.01
S2 0.754 0.754 0.739  -0.01
Gd1 0.500 0.500 0.500  6.88

Entry 2:
A relaxed structure of Nd2GdS, computed with GGA-PBE.

## Properties
Crystal system: trigonal
Space-group type: R-3m (166)
ρ, g/cm3: 6.41
Electronic total energy, eV/atom: -7.827

a b c (Å): 3.880 3.880 9.755
angles (deg): 78.53 78.53 60.00
Last column: magnetic moment on the atom in μB.
Fractional positions:
Gd1 0.500 0.500 0.500  7.43
S1 0.000 0.000 0.000  0.02
Nd1 0.728 0.728 0.816  0.06
Nd2 0.272 0.272 0.184  0.06

Entry 3:
A relaxed structure of Nd3GdS, computed with GGA-PBE.

## Properties
Crystal system: cubic
Space-group type: Pm-3m (221)
ρ, g/cm3: 6.18
Electronic total energy, eV/atom: -7.167

a b c (Å): 5.508 5.508 5.508
angles (deg): 90.00 90.00 90.00
Last column: magnetic moment on the atom in μB.
Fractional positions:
Nd1 0.000 0.000 0.500  0.02
Nd2 0.000 0.500 0.000  0.02
Nd3 0.500 0.000 0.000  0.02
Gd1 0.500 0.500 0.500  7.14
S1 0.000 0.000 0.000  0.00

Entry 4:
A relaxed structure of NdGd3S, computed with GGA-PBE.

## Properties
Crystal system: cubic
Space-group type: Pm-3m (221)
ρ, g/cm3: 6.84
Electronic total energy, eV/atom: -10.902

a b c (Å): 5.398 5.398 5.398
angles (deg): 90.00 90.00 90.00
Last column: magnetic moment on the atom in μB.
Fractional positions:
Gd1 0.000 0.500 0.000  7.14
Gd2 0.000 0.000 0.500  7.14
Gd3 0.500 0.000 0.000  7.14
S1 0.000 0.000 0.000  -0.05
Nd1 0.500 0.500 0.500  0.06

Entry 5:
A relaxed structure of NdGd2Sb, computed with GGA-PBE.

## Properties
Crystal system: cubic
Space-group type: Fm-3m (225)
ρ, g/cm3: 8.26
Electronic total energy, eV/atom: -9.565

a b c (Å): 5.485 5.485 5.485
angles (deg): 60.00 60.00 60.00
Last column: magnetic moment on the atom in μB.
Fractional positions:
Sb1 0.000 0.000 0.000  -0.05
Gd1 0.250 0.250 0.250  7.27
Gd2 0.750 0.750 0.750  7.27
Nd1 0.500 0.500 0.500  0.47

Entry 6:
A relaxed structure of NdGd2Sb, computed with GGA-PBE.

## Properties
Crystal system: tetragonal
Space-group type: P4/mmm (123)
ρ, g/cm3: 8.37
Electronic total energy, eV/atom: -9.800

a b c (Å): 4.877 4.859 4.859
angles (deg): 90.00 90.00 90.00
Last column: magnetic moment on the atom in μB.
Fractional positions:
Nd1 0.500 0.500 0.500  -0.03
Gd1 0.000 0.000 0.500  -7.18
Gd2 0.000 0.500 0.000  -7.18
Sb1 0.500 0.000 0.000  0.03

Entry 7:
A relaxed structure of NdGd2Sb, computed with GGA-PBE.

## Properties
Crystal system: tetragonal
Space-group type: P4/mmm (123)
ρ, g/cm3: 7.99
Electronic total energy, eV/atom: -9.785

a b c (Å): 4.062 4.062 7.317
angles (deg): 90.00 90.00 90.00
Last column: magnetic moment on the atom in μB.
Fractional positions:
Nd1 0.500 0.500 0.000  0.23
Gd1 0.000 0.000 0.716  7.26
Gd2 0.000 0.000 0.284  7.26
Sb1 0.500 0.500 0.500  -0.05

Entry 8:
A relaxed structure of NdGdSc4, computed with GGA-PBE.

## Properties
Energy of formation from the pure elements, meV/atom: 230
Crystal system: cubic
Space-group type: F-43m (216)
ρ, g/cm3: 4.51

a b c (Å): 6.303 6.303 6.303
angles (deg): 60.00 60.00 60.00
Last column: magnetic moment on the atom in μB.
Fractional positions:
Nd1 0.250 0.250 0.250  -0.17
Sc1 0.626 0.626 0.123  0.11
Sc2 0.626 0.123 0.626  0.11
Sc3 0.626 0.626 0.626  0.11
Sc4 0.123 0.626 0.626  0.11
Gd1 0.000 0.000 0.000  7.45